Below is a geometry-optimized Tl2Hg2S3 structure, with properties calculated at the PBE level.

Values from the calculation:
Energy relative to the lowest polymorph listed for this composition ... 109.3 meV/atom
E_tot ... -2.410 eV/atom

abc: 5.978 5.978 5.978
angles: 73.99 73.99 73.99
Atoms (fractional coordinates):
Hg 0.290 0.290 0.290
Hg 0.710 0.710 0.710
S 0.500 0.000 0.000
S 0.000 0.500 0.000
S 0.000 0.000 0.500
Tl 0.000 0.000 0.000
Tl 0.500 0.500 0.500